# Li2Zn5Ir

A relaxed Li2Zn5Ir crystal (PBE-GGA, Alexandria via LeMat-Bulk).

Properties
N(E_F) = 0.333 states/eV/atom
energy = -2.56 eV per atom
energy relative to the lowest polymorph listed for this composition = 27.6 meV/atom

Cell: 4.0219 4.0219 14.2251 Å, 90.00 90.00 90.00°
With the nearest neighbours (Å) after each atom.
Space group I4/mmm (No. 139)
Unique sites:
Li  0.0000  0.0000  0.2413 (multiplicity 4)  8 Zn 2.62-2.79, 4 Li 2.85
Zn  0.0000  0.0000  0.5000 (multiplicity 2)  8 Zn 2.67, 4 Ir 2.84
Zn  0.0000  0.5000  0.1230 (multiplicity 8)  4 Li 2.62-2.79, 2 Ir 2.67, 6 Zn 2.67-2.84
Ir  0.0000  0.0000  0.0000 (multiplicity 2)  12 Zn 2.67-2.84